Crystalline Nd2GaAs at its relaxed geometry, computed with PBE.

Computed properties:
* energy relative to the lowest polymorph listed for this composition: 0.1049 eV/atom
* ρ: 6.4 g/cm³
* total magnetization: 0.000 μB per formula unit
* space group: R-3m (166)
* energy of formation: -90.2 kJ per mole of atoms
* DOS(E_F): 0.42 states/eV/atom

a = 4.1522 Å, b = 4.1522 Å, c = 7.9284 Å
α = 74.82°, β = 74.82°, γ = 60.00°
Last column: nearest neighbours and their distance in Å.
Positions (direct):
As1 0.0000 0.0000 0.0000  6 Nd 2.96
Nd1 0.7430 0.7430 0.7709  3 As 2.96, 3 Ga 3.15
Nd2 0.2570 0.2570 0.2291  3 As 2.96, 3 Ga 3.15
Ga1 0.5000 0.5000 0.5000  6 Nd 3.15